[1]
DFT (PBE) results for a relaxed LiAg2Se2 crystal.

abc: 5.1903 5.1903 8.5348
angles: 90.00 90.00 90.00
Last column: nearest neighbours and their distance in Å.
Space group I4/mmm (No. 139)
One atom of each set of equivalent atoms:
Li1 0.0000 0.0000 0.0000 [2 per cell]  2 Ag 2.79
Ag1 0.0000 0.0000 0.3267 [4 per cell]  4 Se 2.68, 1 Li 2.79, 1 Ag 2.96
Se1 0.0000 0.5000 0.2500 [4 per cell]  4 Ag 2.68

---

[2]
DFT (PBE) results for a relaxed LiAg4Se4 crystal.

abc: 6.0688 6.0688 12.0130
angles: 90.00 90.00 90.00
Last column: nearest neighbours and their distance in Å.
Space group I-42m (No. 121)
One atom of each set of equivalent atoms:
Li1 0.0000 0.0000 0.0000 [2 per cell]  4 Se 2.61
Ag1 0.0000 0.0000 0.2523 [4 per cell]  4 Se 2.61-2.63
Ag2 0.0000 0.5000 0.0000 [4 per cell]  4 Se 2.62
Se1 0.2490 0.2490 0.1248 [8 per cell]  1 Li 2.61, 4 Ag 2.61-2.63

---

[3]
DFT (PBE) results for a relaxed Li2AgSe crystal.

abc: 3.6172 3.6172 5.4110
angles: 90.00 90.00 90.00
Last column: nearest neighbours and their distance in Å.
Space group P4mm (No. 99)
One atom of each set of equivalent atoms:
Li1 0.0000 0.0000 0.0000 [1 per cell]  2 Se 2.64-2.77, 4 Ag 2.80
Li2 0.5000 0.5000 0.3081 [1 per cell]  2 Ag 2.61-2.80, 4 Se 2.74
Ag1 0.5000 0.5000 0.7899 [1 per cell]  6 Li 2.61-2.80
Se1 0.0000 0.0000 0.4888 [1 per cell]  6 Li 2.64-2.77

---

[4]
DFT (PBE) results for a relaxed LiAg3Se2 crystal.

abc: 4.1770 8.0639 8.7662
angles: 106.69 103.75 104.93
Last column: nearest neighbours and their distance in Å.
Space group P-1 (No. 2)
One atom of each set of equivalent atoms:
Li1 0.0993 0.4525 0.2427 [2 per cell]  4 Se 2.68-2.81
Ag1 0.0684 0.1797 0.4573 [2 per cell]  3 Se 2.63-2.76
Ag2 0.2556 0.0835 0.9285 [2 per cell]  2 Se 2.65-2.73, 4 Ag 2.95-2.96
Ag3 0.3511 0.8921 0.3092 [2 per cell]  3 Se 2.71-2.74, 4 Ag 2.96-2.98
Se1 0.3160 0.3467 0.7879 [2 per cell]  4 Ag 2.63-2.73, 2 Li 2.68
Se2 0.4931 0.2227 0.2636 [2 per cell]  4 Ag 2.65-2.76, 2 Li 2.79-2.81

---

[5]
DFT (PBE) results for a relaxed LiAgSe3 crystal.

abc: 5.1320 5.1320 5.1320
angles: 90.00 90.00 90.00
Last column: nearest neighbours and their distance in Å.
Space group Pm-3m (No. 221)
One atom of each set of equivalent atoms:
Li1 0.0000 0.0000 0.0000 [1 per cell]  12 Se 3.63
Ag1 0.5000 0.5000 0.5000 [1 per cell]  6 Se 2.57
Se1 0.0000 0.5000 0.5000 [3 per cell]  2 Ag 2.57

---

[6]
DFT (PBE) results for a relaxed LiAg2Se crystal.

abc: 5.5358 9.5433 2.8295
angles: 90.00 90.00 90.00
Last column: nearest neighbours and their distance in Å.
Space group Cmmm (No. 65)
One atom of each set of equivalent atoms:
Li1 0.0000 0.0000 0.0000 [2 per cell]  2 Se 2.77, 2 Li 2.83, 8 Ag 3.10
Ag1 0.2500 0.2500 0.5000 [4 per cell]  4 Ag 2.77-2.83, 4 Se 3.10, 4 Li 3.10
Se1 0.0000 0.5000 0.0000 [2 per cell]  2 Li 2.77, 2 Se 2.83, 8 Ag 3.10

---

Going through the records in order, we get formation energy from raw total energies values of -19 -15 -41 -31 22 -6 kJ per mole of atoms.
Going through the records in order, we get raw total energy values of -3.113 -3.188 -2.964 -3.228 -2.821 -2.840 eV/atom.